(1)
First-principles (GGA-PBE) data for Mg2Co2Rh after structural relaxation, as listed in the Alexandria database.

Cell lengths 6.138, 6.138, 4.036 Å; angles 90.00, 90.00, 90.00 degrees
Last column: magnetic moment on the atom in μB.
Positions (direct):
Co 0.377 0.877 0.000  1.17
Co 0.123 0.377 0.000  1.16
Co 0.623 0.123 0.000  1.17
Co 0.877 0.623 0.000  1.16
Mg 0.180 0.680 0.500  -0.02
Mg 0.680 0.820 0.500  -0.02
Mg 0.320 0.180 0.500  -0.02
Mg 0.820 0.320 0.500  -0.02
Rh 0.000 0.000 0.000  0.47
Rh 0.500 0.500 0.000  0.47

Summary:
**Symmetry**: No. 127
**N(E_F)**: 8.70 states/eV per cell
**Energy of formation from the pure elements**: 0.03 eV/atom

(2)
First-principles (GGA-PBE) data for MgCoRh2 after structural relaxation, as listed in the Alexandria database.

Cell lengths 4.113, 2.745, 5.286 Å; angles 74.07, 90.00, 90.00 degrees
Last column: magnetic moment on the atom in μB.
Positions (direct):
Mg 0.500 0.750 0.750  -0.01
Co 0.500 0.250 0.250  1.91
Rh 0.000 0.094 0.015  0.42
Rh 0.000 0.406 0.485  0.42

Summary:
**Symmetry**: No. 10
**N(E_F)**: 4.52 states/eV per cell
**Energy of formation from the pure elements**: -0.05 eV/atom

(3)
First-principles (GGA-PBE) data for MgCoRh2 after structural relaxation, as listed in the Alexandria database.

Cell lengths 4.719, 4.719, 4.719 Å; angles 133.10, 133.10, 68.49 degrees
Last column: magnetic moment on the atom in μB.
Positions (direct):
Rh 0.250 0.750 0.500  -0.03
Rh 0.000 0.000 0.000  -0.02
Co 0.500 0.500 0.000  0.86
Mg 0.750 0.250 0.500  -0.01

Summary:
**Symmetry**: No. 119
**N(E_F)**: 4.97 states/eV per cell
**Energy of formation from the pure elements**: -0.08 eV/atom

(4)
First-principles (GGA-PBE) data for MgCoRh after structural relaxation, as listed in the Alexandria database.

Cell lengths 4.233, 4.233, 2.817 Å; angles 90.00, 90.00, 120.00 degrees
Last column: magnetic moment on the atom in μB.
Positions (direct):
Rh 0.667 0.333 0.772  0.63
Mg 0.333 0.667 0.326  -0.01
Co 0.000 0.000 0.901  1.79

Summary:
**Relative energy among the computed polymorphs**: 0.126 eV/atom
**Symmetry**: No. 156
**N(E_F)**: 3.11 states/eV per cell
**Energy of formation from the pure elements**: -0.03 eV/atom

(5)
First-principles (GGA-PBE) data for MgCo3Rh after structural relaxation, as listed in the Alexandria database.

Cell lengths 4.546, 4.546, 4.546 Å; angles 90.00, 90.00, 90.00 degrees
Last column: magnetic moment on the atom in μB.
Positions (direct):
Rh 0.000 0.000 0.000  0.89
Co 0.000 0.500 0.000  1.97
Co 0.000 0.000 0.500  2.56
Co 0.500 0.000 0.000  1.22
Mg 0.500 0.500 0.500  -0.02

Summary:
**Relative energy among the computed polymorphs**: 0.000 eV/atom
**Symmetry**: No. 221
**N(E_F)**: 4.43 states/eV per cell
**Energy of formation from the pure elements**: 1.05 eV/atom

(6)
First-principles (GGA-PBE) data for MgCo2Rh2 after structural relaxation, as listed in the Alexandria database.

Cell lengths 4.052, 4.052, 5.562 Å; angles 68.64, 68.64, 90.00 degrees
Last column: magnetic moment on the atom in μB.
Positions (direct):
Co 0.388 0.388 0.223  1.78
Co 0.612 0.612 0.777  1.78
Mg 0.000 0.000 0.000  -0.02
Rh 0.750 0.250 0.500  0.83
Rh 0.250 0.750 0.500  0.83

Summary:
**Relative energy among the computed polymorphs**: 0.151 eV/atom
**Symmetry**: No. 139
**N(E_F)**: 6.23 states/eV per cell
**Energy of formation from the pure elements**: 0.14 eV/atom

(7)
First-principles (GGA-PBE) data for Mg3CoRh after structural relaxation, as listed in the Alexandria database.

Cell lengths 4.837, 4.837, 4.837 Å; angles 90.00, 90.00, 90.00 degrees
Last column: magnetic moment on the atom in μB.
Positions (direct):
Mg 0.000 0.000 0.500  -0.01
Mg 0.000 0.500 0.000  -0.01
Mg 0.500 0.000 0.000  0.00
Rh 0.000 0.000 0.000  0.05
Co 0.500 0.500 0.500  1.98

Summary:
**Relative energy among the computed polymorphs**: 0.000 eV/atom
**Symmetry**: No. 221
**N(E_F)**: 2.96 states/eV per cell
**Energy of formation from the pure elements**: 0.53 eV/atom

(8)
First-principles (GGA-PBE) data for MgCoRh2 after structural relaxation, as listed in the Alexandria database.

Cell lengths 3.847, 2.747, 6.004 Å; angles 62.81, 90.00, 90.00 degrees
Last column: magnetic moment on the atom in μB.
Positions (direct):
Mg 0.500 0.746 0.754  -0.01
Rh 0.000 0.002 0.998  0.21
Rh 0.500 0.231 0.268  0.41
Co 0.000 0.521 0.480  1.68

Summary:
**Symmetry**: No. 25
**N(E_F)**: 6.03 states/eV per cell
**Energy of formation from the pure elements**: -0.04 eV/atom

(9)
First-principles (GGA-PBE) data for MgCoRh2 after structural relaxation, as listed in the Alexandria database.

Cell lengths 5.068, 5.068, 4.573 Å; angles 65.77, 65.77, 31.77 degrees
Last column: magnetic moment on the atom in μB.
Positions (direct):
Rh 0.992 0.992 0.930  0.33
Rh 0.249 0.249 0.333  0.27
Mg 0.749 0.749 0.821  -0.01
Co 0.509 0.509 0.416  1.75

Summary:
**Symmetry**: No. 8
**N(E_F)**: 5.45 states/eV per cell
**Energy of formation from the pure elements**: -0.12 eV/atom

(10)
First-principles (GGA-PBE) data for MgCoRh2 after structural relaxation, as listed in the Alexandria database.

Cell lengths 4.322, 4.322, 4.322 Å; angles 60.00, 60.00, 60.00 degrees
Last column: magnetic moment on the atom in μB.
Positions (direct):
Co 0.500 0.500 0.500  1.72
Rh 0.000 0.000 0.000  0.63
Rh 0.250 0.250 0.250  0.92
Mg 0.750 0.750 0.750  -0.01

Summary:
**Symmetry**: No. 216
**N(E_F)**: 4.29 states/eV per cell
**Energy of formation from the pure elements**: 0.01 eV/atom

(11)
First-principles (GGA-PBE) data for MgCoRh after structural relaxation, as listed in the Alexandria database.

Cell lengths 4.086, 4.086, 4.086 Å; angles 60.00, 60.00, 60.00 degrees
Last column: magnetic moment on the atom in μB.
Positions (direct):
Mg 0.000 0.000 0.000  -0.01
Rh 0.500 0.500 0.500  0.70
Co 0.250 0.250 0.250  1.60

Summary:
**Relative energy among the computed polymorphs**: 0.335 eV/atom
**Symmetry**: No. 216
**N(E_F)**: 1.42 states/eV per cell
**Energy of formation from the pure elements**: 0.18 eV/atom

(12)
First-principles (GGA-PBE) data for MgCoRh2 after structural relaxation, as listed in the Alexandria database.

Cell lengths 2.782, 2.782, 7.313 Å; angles 90.00, 90.00, 90.00 degrees
Last column: magnetic moment on the atom in μB.
Positions (direct):
Rh 0.000 0.000 0.007  -0.19
Rh 0.500 0.500 0.265  0.39
Mg 0.500 0.500 0.744  -0.01
Co 0.000 0.000 0.484  1.50

Summary:
**Symmetry**: No. 99
**N(E_F)**: 5.01 states/eV per cell
**Energy of formation from the pure elements**: -0.02 eV/atom

Please write out number 12 again, unchanged.
First-principles (GGA-PBE) data for MgCoRh2 after structural relaxation, as listed in the Alexandria database.

Cell lengths 2.782, 2.782, 7.313 Å; angles 90.00, 90.00, 90.00 degrees
Last column: magnetic moment on the atom in μB.
Positions (direct):
Rh 0.000 0.000 0.007  -0.19
Rh 0.500 0.500 0.265  0.39
Mg 0.500 0.500 0.744  -0.01
Co 0.000 0.000 0.484  1.50

Summary:
**Symmetry**: No. 99
**N(E_F)**: 5.01 states/eV per cell
**Energy of formation from the pure elements**: -0.02 eV/atom